# AlAsOsSe2

A relaxed structure of AlAsOsSe2 (PBE-GGA, Alexandria via LeMat-Bulk).

The value obtained for the density of states at the Fermi level is 5.940 states/eV/cell. As for the symmetry: No. 123. For the distance to the lowest polymorph of the same formula, the calculation gives 0 meV/atom. For the uncorrected formation energy, the calculation gives 631 meV/atom.

```
AlAsOsSe2
1.0
5.083 0.000 0.000
0.000 5.083 0.000
0.000 0.000 4.638
Al As Os Se
1 1 1 2
Direct
0.000 0.000 0.000
0.500 0.500 0.000
0.500 0.500 0.500
0.000 0.500 0.500
0.500 0.000 0.500
```